No. 1
Below is a geometry-optimized LiGeMo2W structure, with properties calculated at the GGA-PBE level.

Output
As for the total energy: -6.674 eV/atom. Its space group is P4/mmm, No. 123. The value obtained for the total moment is 0.0 Bohr magnetons per cell.

abc: 4.6515 4.6635 4.6515
angles: 90.00 90.00 90.00
Last column: nearest neighbours and their distance in Å.
Element x y z (fractional)
Mo 0.0000 0.0000 0.5000  2 Ge 2.33
Mo 0.5000 0.0000 0.0000  2 Ge 2.33
Ge 0.0000 0.0000 0.0000  4 Mo 2.33, 2 W 2.33
W 0.0000 0.5000 0.0000  2 Ge 2.33
Li 0.5000 0.5000 0.5000  4 W 3.29, 8 Mo 3.29


No. 2
Below is a geometry-optimized LiGe2N structure, with properties calculated at the GGA-PBE level.

Output
As for the total energy: -4.658 eV/atom. Its space group is I-42d, No. 122. Its uncorrected formation energy is 0.21 eV/atom. The value obtained for the total moment is 0.0 Bohr magnetons per cell.

abc: 6.2145 6.2145 5.3645
angles: 54.60 54.60 90.00
Last column: nearest neighbours and their distance in Å.
Element x y z (fractional)
Ge 0.6921 0.1250 0.2500  2 N 2.07
Ge 0.0579 0.6250 0.2500  2 N 2.07
Ge 0.3750 0.3079 0.7500  2 N 2.07
Ge 0.8750 0.9421 0.7500  2 N 2.07
Li 0.5000 0.5000 0.0000  4 Ge 2.62
Li 0.2500 0.7500 0.5000  4 Ge 2.62
N 0.0000 0.0000 0.0000  4 Ge 2.07
N 0.7500 0.2500 0.5000  4 Ge 2.07


No. 3
Below is a geometry-optimized LiGeN3 structure, with properties calculated at the GGA-PBE level.

Output
As for the total energy: -5.067 eV/atom. Its space group is Pm-3m, No. 221. Its uncorrected formation energy is 1.23 eV/atom. The value obtained for the total moment is 2.5 Bohr magnetons per cell.

abc: 3.8268 3.8268 3.8268
angles: 90.00 90.00 90.00
Last column: nearest neighbours and their distance in Å.
Element x y z (fractional)
Ge 0.0000 0.0000 0.0000  6 N 1.91
Li 0.5000 0.5000 0.5000  12 N 2.71
N 0.0000 0.5000 0.0000  2 Ge 1.91
N 0.0000 0.0000 0.5000  2 Ge 1.91
N 0.5000 0.0000 0.0000  2 Ge 1.91


No. 4
Below is a geometry-optimized Li2GeN structure, with properties calculated at the GGA-PBE level.

Output
As for the total energy: -3.751 eV/atom. Its space group is Fm-3m, No. 225. Its uncorrected formation energy is 0.44 eV/atom. The value obtained for the total moment is 0.0 Bohr magnetons per cell. The relative energy among the computed polymorphs is 0.1000 eV/atom.

abc: 4.0858 4.0858 4.0858
angles: 60.00 60.00 60.00
Last column: nearest neighbours and their distance in Å.
Element x y z (fractional)
Ge 0.5000 0.5000 0.5000  8 Li 2.50
Li 0.2500 0.2500 0.2500  4 Ge 2.50, 4 N 2.50
Li 0.7500 0.7500 0.7500  4 Ge 2.50, 4 N 2.50
N 0.0000 0.0000 0.0000  8 Li 2.50


No. 5
Below is a geometry-optimized Li4GeN structure, with properties calculated at the GGA-PBE level.

Output
As for the total energy: -3.669 eV/atom. Its space group is C2/m, No. 12. Its uncorrected formation energy is -0.24 eV/atom. The value obtained for the total moment is 0.0 Bohr magnetons per cell.

abc: 4.6772 6.0068 6.0068
angles: 114.27 95.73 95.73
Last column: nearest neighbours and their distance in Å.
Element x y z (fractional)
Li 0.7841 0.5035 0.5035  1 Li 2.03, 2 N 2.08
Li 0.5000 0.2814 0.7186  2 N 2.37, 4 Li 2.56-2.57
Li 0.0556 0.6627 0.9659  2 N 2.04-2.13, 1 Li 2.18
Li 0.9444 0.0341 0.3373  2 N 2.04-2.13, 1 Li 2.18
Li 0.2159 0.4965 0.4965  1 Li 2.03, 2 N 2.08
Li 0.5000 0.7186 0.2814  2 N 2.37, 4 Li 2.56-2.57
Li 0.9444 0.3373 0.0341  2 N 2.04-2.13, 1 Li 2.18
Li 0.0556 0.9659 0.6627  2 N 2.04-2.13, 1 Li 2.18
Ge 0.5970 0.8514 0.8514  1 Ge 2.29
Ge 0.4030 0.1486 0.1486  1 Ge 2.29
N 0.0000 0.3202 0.6798  6 Li 2.04-2.13
N 0.0000 0.6798 0.3202  6 Li 2.04-2.13


No. 6
Below is a geometry-optimized Li2GeN2 structure, with properties calculated at the GGA-PBE level.

Output
As for the total energy: -5.259 eV/atom. Its space group is C2/m, No. 12. Its uncorrected formation energy is -0.24 eV/atom. The value obtained for the total moment is 0.0 Bohr magnetons per cell. The relative energy among the computed polymorphs is 0.1877 eV/atom.

abc: 3.7668 6.1149 6.3299
angles: 74.75 72.69 72.06
Last column: nearest neighbours and their distance in Å.
Element x y z (fractional)
Li 0.6480 0.2212 0.4827  3 N 2.01-2.07
Li 0.3520 0.7788 0.5173  3 N 2.01-2.07
Li 0.0348 0.6416 0.2889  4 N 2.06-2.20
Li 0.9652 0.3584 0.7111  4 N 2.06-2.20
Ge 0.3598 0.1390 0.1413  3 N 1.73-1.91
Ge 0.6402 0.8610 0.8587  3 N 1.73-1.91
N 0.1753 0.2814 0.3680  1 Ge 1.73
N 0.8247 0.7186 0.6320  1 Ge 1.73
N 0.4885 0.1940 0.8290  2 Ge 1.85-1.91, 1 Li 2.07
N 0.5115 0.8060 0.1710  2 Ge 1.85-1.91, 1 Li 2.07


No. 7
Below is a geometry-optimized Li2GeN structure, with properties calculated at the GGA-PBE level.

Output
As for the total energy: -3.851 eV/atom. Its space group is I-42d, No. 122. Its uncorrected formation energy is 0.34 eV/atom. The value obtained for the total moment is 0.0 Bohr magnetons per cell. The relative energy among the computed polymorphs is 0.0000 eV/atom.

abc: 3.4218 3.4218 8.3635
angles: 78.20 78.20 90.00
Last column: nearest neighbours and their distance in Å.
Element x y z (fractional)
Ge 0.0000 0.0000 0.0000  4 Li 2.42, 4 N 2.42
Ge 0.7500 0.2500 0.5000  4 Li 2.42, 4 N 2.42
Li 0.1810 0.1250 0.2500  2 Li 2.17, 2 N 2.28, 2 Ge 2.42
Li 0.5690 0.6250 0.2500  2 Li 2.17, 2 N 2.28, 2 Ge 2.42
Li 0.3750 0.8190 0.7500  2 Li 2.17, 2 N 2.28, 2 Ge 2.42
Li 0.8750 0.4310 0.7500  2 Li 2.17, 2 N 2.28, 2 Ge 2.42
N 0.5000 0.5000 0.0000  4 Li 2.28, 4 Ge 2.42
N 0.2500 0.7500 0.5000  4 Li 2.28, 4 Ge 2.42


No. 8
Below is a geometry-optimized Li8GeN2 structure, with properties calculated at the GGA-PBE level.

Output
As for the total energy: -3.609 eV/atom. Its space group is C2/m, No. 12. Its uncorrected formation energy is -0.28 eV/atom. The value obtained for the total moment is 0.0 Bohr magnetons per cell.

abc: 3.8558 6.0869 6.0869
angles: 113.46 94.09 94.09
Last column: nearest neighbours and their distance in Å.
Element x y z (fractional)
Li 0.9454 0.9576 0.6547  2 N 2.10-2.17, 1 Li 2.20
Li 0.9454 0.6547 0.9576  2 N 2.10-2.17, 1 Li 2.20
Li 0.2470 0.6042 0.6042  2 N 2.11, 1 Li 2.21
Li 0.5000 0.7258 0.2742  2 N 1.99
Li 0.5000 0.2742 0.7258  2 N 1.99
Li 0.7530 0.3958 0.3958  2 N 2.11, 1 Li 2.21
Li 0.0546 0.3453 0.0424  2 N 2.10-2.17, 1 Li 2.20
Li 0.0546 0.0424 0.3453  2 N 2.10-2.17, 1 Li 2.20
Ge 0.5000 0.0000 0.0000  12 Li 2.70-2.81
N 0.0000 0.3235 0.6765  8 Li 1.99-2.17
N 0.0000 0.6765 0.3235  8 Li 1.99-2.17


No. 9
Below is a geometry-optimized LiGe2N2 structure, with properties calculated at the GGA-PBE level.

Output
As for the total energy: -5.132 eV/atom. Its space group is P4/mbm, No. 127. Its uncorrected formation energy is 0.43 eV/atom. The value obtained for the total moment is 0.0 Bohr magnetons per cell. The relative energy among the computed polymorphs is 0.1348 eV/atom.

abc: 7.0721 7.0721 3.0459
angles: 90.00 90.00 90.00
Last column: nearest neighbours and their distance in Å.
Element x y z (fractional)
Ge 0.3800 0.8800 0.0000  2 N 1.83
Ge 0.8800 0.6200 0.0000  2 N 1.83
Ge 0.6200 0.1200 0.0000  2 N 1.83
Ge 0.1200 0.3800 0.0000  2 N 1.83
Li 0.0000 0.0000 0.0000  4 Ge 2.82, 8 N 2.94, 2 Li 3.05
Li 0.5000 0.5000 0.0000  4 Ge 2.82, 8 N 2.94, 2 Li 3.05
N 0.2781 0.7781 0.5000  2 Ge 1.83
N 0.7781 0.7219 0.5000  2 Ge 1.83
N 0.7219 0.2219 0.5000  2 Ge 1.83
N 0.2219 0.2781 0.5000  2 Ge 1.83


No. 10
Below is a geometry-optimized Li2GeN2 structure, with properties calculated at the GGA-PBE level.

Output
As for the total energy: -5.446 eV/atom. Its space group is P2_1/c, No. 14. Its uncorrected formation energy is -0.43 eV/atom. The value obtained for the total moment is 0.0 Bohr magnetons per cell. The relative energy among the computed polymorphs is 0.0000 eV/atom.

abc: 6.6854 5.5531 5.5897
angles: 87.74 90.00 90.00
Last column: nearest neighbours and their distance in Å.
Element x y z (fractional)
Li 0.5975 0.0934 0.3172  3 N 1.99-2.05
Li 0.0975 0.4066 0.6828  3 N 1.99-2.05
Li 0.4025 0.9066 0.6828  3 N 1.99-2.05
Li 0.9025 0.5934 0.3172  3 N 1.99-2.05
Li 0.8373 0.2734 0.0543  5 N 2.24-2.41, 2 Li 2.37-2.39
Li 0.3373 0.2266 0.9457  5 N 2.24-2.41, 2 Li 2.37-2.39
Li 0.1627 0.7266 0.9457  5 N 2.24-2.41, 2 Li 2.37-2.39
Li 0.6627 0.7734 0.0543  5 N 2.24-2.41, 2 Li 2.37-2.39
Ge 0.6377 0.4256 0.6504  4 N 1.88-1.95
Ge 0.1377 0.0744 0.3496  4 N 1.88-1.95
Ge 0.3623 0.5744 0.3496  4 N 1.88-1.95
Ge 0.8623 0.9256 0.6504  4 N 1.88-1.95
N 0.1486 0.3963 0.2293  2 Ge 1.88-1.89, 1 Li 2.05
N 0.6486 0.1037 0.7707  2 Ge 1.88-1.89, 1 Li 2.05
N 0.8514 0.6037 0.7707  2 Ge 1.88-1.89, 1 Li 2.05
N 0.3514 0.8963 0.2293  2 Ge 1.88-1.89, 1 Li 2.05
N 0.6221 0.4508 0.3024  2 Ge 1.89-1.95, 2 Li 1.99-2.04
N 0.1221 0.0492 0.6976  2 Ge 1.89-1.95, 2 Li 1.99-2.04
N 0.3779 0.5492 0.6976  2 Ge 1.89-1.95, 2 Li 1.99-2.04
N 0.8779 0.9508 0.3024  2 Ge 1.89-1.95, 2 Li 1.99-2.04


No. 11
Below is a geometry-optimized LiGe3N structure, with properties calculated at the GGA-PBE level.

Output
As for the total energy: -4.270 eV/atom. Its space group is Pm-3m, No. 221. Its uncorrected formation energy is 0.55 eV/atom. The value obtained for the total moment is 0.0 Bohr magnetons per cell. The relative energy among the computed polymorphs is 0.0000 eV/atom.

abc: 4.4139 4.4139 4.4139
angles: 90.00 90.00 90.00
Last column: nearest neighbours and their distance in Å.
Element x y z (fractional)
Ge 0.0000 0.5000 0.0000  2 N 2.21
Ge 0.0000 0.0000 0.5000  2 N 2.21
Ge 0.5000 0.0000 0.0000  2 N 2.21
Li 0.5000 0.5000 0.5000  12 Ge 3.12
N 0.0000 0.0000 0.0000  6 Ge 2.21


No. 12
Below is a geometry-optimized LiGeN3 structure, with properties calculated at the GGA-PBE level.

Output
As for the total energy: -4.226 eV/atom. Its space group is Pm-3m, No. 221. Its uncorrected formation energy is 2.08 eV/atom. The value obtained for the total moment is 0.9 Bohr magnetons per cell.

abc: 3.6090 3.6090 3.6090
angles: 90.00 90.00 90.00
Last column: nearest neighbours and their distance in Å.
Element x y z (fractional)
Ge 0.5000 0.5000 0.5000  12 N 2.55
Li 0.0000 0.0000 0.0000  6 N 1.80
N 0.0000 0.5000 0.0000  2 Li 1.80
N 0.0000 0.0000 0.5000  2 Li 1.80
N 0.5000 0.0000 0.0000  2 Li 1.80


Which value of total moment does entry 1 give?
0.0 Bohr magnetons per cell


Look up the total moment of the eighth one.
0.0 Bohr magnetons per cell